[1]
10
Lattice="4.705 0.000 0.000 0.000 4.705 0.000 0.000 0.000 11.103" Properties=species:S:1:pos:R:3 comment="Ac2ErSn3Pd4 | the Alexandria database | PBE-GGA | optimized geometry" crystal_system=tetragonal dos_ef_per_ev_cell=6.4 delta_e_f_ev_per_atom=-0.853 pbc="T T T"
Ac 0.000 2.352 2.554
Ac 2.352 0.000 8.549
Er 0.000 0.000 5.551
Sn 0.000 2.352 9.755
Sn 2.352 0.000 1.348
Sn 2.352 2.352 5.551
Pd 0.000 0.000 0.000
Pd 0.000 2.352 7.099
Pd 2.352 0.000 4.003
Pd 2.352 2.352 0.000


[2]
10
Lattice="5.839 0.000 0.000 2.918 6.256 0.000 2.919 -0.116 6.515" Properties=species:S:1:pos:R:3 comment="Ac2ErSnPd6 | the Alexandria database | PBE-GGA | optimized geometry" crystal_system=triclinic dos_ef_per_ev_cell=5.5 delta_e_f_ev_per_atom=-0.643 pbc="T T T"
Ac 2.919 1.825 1.472
Ac 8.756 4.315 5.043
Er 0.000 0.000 0.000
Sn 5.838 3.070 3.258
Pd 4.419 1.527 4.954
Pd 5.860 5.705 3.785
Pd 4.413 4.629 1.581
Pd 7.262 1.512 4.934
Pd 5.815 0.436 2.730
Pd 7.257 4.613 1.562


[3]
4
Lattice="0.000 3.814 3.814 3.814 0.000 3.814 3.814 3.814 0.000" Properties=species:S:1:pos:R:3 comment="AcErSnPd | the Alexandria database | PBE-GGA | optimized geometry" crystal_system=cubic dos_ef_per_ev_cell=1.9 delta_e_f_ev_per_atom=-0.624 pbc="T T T"
Ac 0.000 0.000 0.000
Er 3.814 3.814 3.814
Sn 5.722 5.722 5.722
Pd 1.907 1.907 1.907


[4]
4
Lattice="0.000 3.820 3.820 3.820 0.000 3.820 3.820 3.820 0.000" Properties=species:S:1:pos:R:3 comment="AcErTlPd | the Alexandria database | PBE-GGA | optimized geometry" crystal_system=cubic dos_ef_per_ev_cell=4.6 delta_e_f_ev_per_atom=-0.439 pbc="T T T"
Ac 0.000 0.000 0.000
Er 3.820 3.820 3.820
Tl 1.910 1.910 1.910
Pd 5.731 5.731 5.731


[5]
10
Lattice="5.066 -2.926 0.000 5.066 2.926 0.000 -3.383 0.000 8.348" Properties=species:S:1:pos:R:3 comment="Ac2ErZnPd6 | the Alexandria database | PBE-GGA | optimized geometry" crystal_system=monoclinic dos_ef_per_ev_cell=3.8 delta_e_f_ev_per_atom=-0.611 pbc="T T T"
Ac 1.691 0.000 1.192
Ac 5.059 0.000 7.155
Er -1.691 0.000 4.174
Zn 5.066 0.000 0.000
Pd 4.220 1.468 1.920
Pd -0.016 0.000 6.433
Pd 2.529 1.468 6.427
Pd 4.220 -1.468 1.920
Pd 6.765 0.000 1.915
Pd 2.529 -1.468 6.427


[6]
9
Lattice="4.264 0.000 0.000 0.000 4.264 0.000 0.000 0.000 9.461" Properties=species:S:1:pos:R:3 comment="AcErZn2Pd5 | the Alexandria database | PBE-GGA | optimized geometry" crystal_system=tetragonal dos_ef_per_ev_cell=4.2 delta_e_f_ev_per_atom=-0.626 pbc="T T T"
Ac 0.000 0.000 0.000
Er 0.000 0.000 4.731
Zn 2.132 2.132 3.539
Zn 2.132 2.132 5.922
Pd 0.000 2.132 2.234
Pd 0.000 2.132 7.228
Pd 2.132 0.000 2.234
Pd 2.132 0.000 7.228
Pd 2.132 2.132 0.000


[7]
10
Lattice="11.007 -1.862 0.000 11.007 1.862 0.000 -1.105 0.000 8.263" Properties=species:S:1:pos:R:3 comment="AcPm4Er5 | the Alexandria database | PBE-GGA | optimized geometry" crystal_system=monoclinic polymorph_energy_ev_per_atom=0.0223 dos_ef_per_ev_cell=15.4 delta_e_f_ev_per_atom=0.057 pbc="T T T"
Ac 0.000 0.000 0.000
Pm 4.045 0.000 0.429
Pm 7.772 0.000 5.475
Pm 13.137 0.000 2.789
Pm 16.865 0.000 7.835
Er -0.552 0.000 4.132
Er 4.113 0.000 5.297
Er 8.526 0.000 2.085
Er 12.383 0.000 6.179
Er 16.797 0.000 2.967


[8]
10
Lattice="9.775 0.000 0.000 0.000 9.775 0.000 0.000 0.000 3.727" Properties=species:S:1:pos:R:3 comment="AcPm2Er2 | the Alexandria database | PBE-GGA | optimized geometry" crystal_system=tetragonal polymorph_energy_ev_per_atom=0.0361 dos_ef_per_ev_cell=11.1 delta_e_f_ev_per_atom=0.072 pbc="T T T"
Ac 0.000 0.000 0.000
Ac 4.887 4.887 0.000
Pm 1.702 3.185 1.863
Pm 3.185 8.072 1.863
Pm 6.590 1.702 1.863
Pm 8.072 6.590 1.863
Er 1.178 6.066 0.000
Er 3.709 1.178 0.000
Er 6.066 8.596 0.000
Er 8.596 3.709 0.000


[9]
22
Lattice="1.804 -11.805 0.000 1.804 11.805 0.000 0.000 0.000 17.824" Properties=species:S:1:pos:R:3 comment="AcPm6Er4 | the Alexandria database | PBE-GGA | optimized geometry" crystal_system=orthorhombic dos_ef_per_ev_cell=28.5 delta_e_f_ev_per_atom=0.134 pbc="T T T"
Ac 1.804 8.588 13.368
Ac 1.804 -8.588 4.456
Pm 0.000 0.000 0.000
Pm 0.000 0.000 8.912
Pm 1.804 6.337 4.456
Pm 1.804 5.738 10.400
Pm 1.804 5.738 16.336
Pm 1.804 0.290 2.861
Pm 1.804 0.290 6.051
Pm 1.804 -0.290 11.773
Pm 1.804 -0.290 14.963
Pm 1.804 -5.738 1.488
Pm 1.804 -5.738 7.424
Pm 1.804 -6.337 13.368
Er 1.804 9.094 2.434
Er 1.804 9.094 6.478
Er 1.804 3.008 0.677
Er 1.804 3.008 8.235
Er 1.804 -3.008 9.589
Er 1.804 -3.008 17.147
Er 1.804 -9.094 11.346
Er 1.804 -9.094 15.390


[10]
16
Lattice="8.187 -4.883 0.000 8.187 4.883 0.000 -0.027 0.000 7.081" Properties=species:S:1:pos:R:3 comment="AcPm5Er2 | the Alexandria database | PBE-GGA | optimized geometry" crystal_system=monoclinic polymorph_energy_ev_per_atom=0.1161 dos_ef_per_ev_cell=23.2 delta_e_f_ev_per_atom=0.143 pbc="T T T"
Ac 4.094 2.442 0.000
Ac 4.080 -2.442 3.541
Pm 8.181 4.881 1.770
Pm 8.167 -4.881 5.311
Pm 2.800 1.293 3.537
Pm 2.787 -1.293 7.078
Pm 5.802 0.006 5.305
Pm 5.815 -0.006 1.765
Pm 10.533 0.006 5.317
Pm 10.546 -0.006 1.776
Pm 13.561 1.293 0.004
Pm 13.548 -1.293 3.544
Er 8.003 1.841 0.000
Er 8.358 1.841 3.540
Er 7.990 -1.841 3.541
Er 8.345 -1.841 7.081


[11]
15
Lattice="-6.434 6.434 3.279 6.434 -6.434 3.279 6.434 6.434 -3.279" Properties=species:S:1:pos:R:3 comment="AcPm4Er10 | the Alexandria database | PBE-GGA | optimized geometry" crystal_system=tetragonal dos_ef_per_ev_cell=28.0 delta_e_f_ev_per_atom=0.533 pbc="T T T"
Ac 0.000 0.000 0.000
Pm 7.309 4.173 0.000
Pm 4.173 5.559 0.000
Pm 2.261 0.875 3.279
Pm -0.875 2.261 3.279
Er 8.112 -2.650 1.635
Er 3.783 -1.679 1.644
Er 6.434 0.000 1.640
Er 9.084 1.679 1.644
Er 4.755 2.650 1.635
Er 1.679 3.783 1.644
Er -2.650 4.755 1.635
Er 0.000 6.434 1.640
Er 2.650 8.112 1.635
Er -1.679 9.084 1.644


[12]
11
Lattice="9.850 -2.774 0.000 9.850 2.774 0.000 -2.310 0.000 8.377" Properties=species:S:1:pos:R:3 comment="Ac8Pm2Er | the Alexandria database | PBE-GGA | optimized geometry" crystal_system=monoclinic dos_ef_per_ev_cell=19.3 delta_e_f_ev_per_atom=0.042 pbc="T T T"
Ac 0.391 0.000 1.926
Ac 1.122 0.000 5.759
Ac 4.929 0.000 4.907
Ac 7.904 0.000 0.411
Ac 9.487 0.000 7.966
Ac 12.462 0.000 3.470
Ac 16.269 0.000 2.618
Ac 16.999 0.000 6.452
Pm 4.148 0.000 1.116
Pm 13.242 0.000 7.261
Er 8.695 0.000 4.189